This record from the Alexandria database describes a relaxed structure of CoPdS2Cl. The functional is GGA-PBE.

a = 4.368 Å, b = 4.368 Å, c = 4.714 Å
α = 90.00°, β = 90.00°, γ = 90.00°
Fractional coordinates of all 5 atoms:
S 0.000 0.500 0.000
S 0.500 0.000 0.000
Co 0.000 0.000 0.000
Pd 0.500 0.500 0.500
Cl 0.000 0.000 0.500

Calculated values
Total energy ... -4.046 eV/atom
Formation energy (no corrections) ... 0.43 eV per atom
Energy above the lowest structure with this stoichiometry ... 0 meV/atom
V ... 17.99 Å³/atom
SG ... P4/mmm
Total magnetization ... 1.732 μB per formula unit